[1]
The following is a GGA-PBEsol calculation of InCoNi after structural relaxation, from Alexandria.

POSCAR file:
```
InCoNi
1.0
-1.717 -1.162 3.518
2.346 -0.891 3.221
0.069 2.498 3.229
Ni In Co
1 1 1
Direct
0.000 0.000 0.000
0.250 0.250 0.250
0.500 0.500 0.500
```

Calculated values
Excess energy over the best structure of this formula in the dataset, meV per atom: 483.7
ΔH_f (0 K), eV/f.u.: 1.955
Space-group type: F-43m, No. 216

[2]
The following is a GGA-PBEsol calculation of InCoNi2 after structural relaxation, from Alexandria.

POSCAR file:
```
InCoNi2
1.0
3.689 0.000 0.000
0.000 3.681 0.000
0.000 0.000 3.681
In Ni Co
1 2 1
Direct
0.500 0.000 0.000
0.000 0.000 0.500
0.000 0.500 0.000
0.500 0.500 0.500
```

Calculated values
ΔH_f (0 K), eV/f.u.: 0.222
Space-group type: P4/mmm, No. 123

[3]
The following is a GGA-PBEsol calculation of InCoNi2 after structural relaxation, from Alexandria.

POSCAR file:
```
InCoNi2
1.0
-2.199 1.066 -1.716
-0.002 -2.538 -1.574
-3.821 -2.189 3.534
Ni In Co
2 1 1
Direct
0.000 0.000 0.031
0.500 0.500 0.255
0.500 0.500 0.753
0.000 0.000 0.461
```

Calculated values
ΔH_f (0 K), eV/f.u.: 0.339
Space-group type: P4mm, No. 99

[4]
The following is a GGA-PBEsol calculation of InCoNi after structural relaxation, from Alexandria.

POSCAR file:
```
InCoNi
1.0
2.769 0.000 0.000
0.000 4.104 0.000
0.000 -2.052 3.554
Co Ni In
1 1 1
Direct
0.500 0.000 0.000
0.500 0.667 0.333
0.000 0.333 0.667
```

Calculated values
Excess energy over the best structure of this formula in the dataset, meV per atom: 0.0
ΔH_f (0 K), eV/f.u.: 0.504
Space-group type: P-6m2, No. 187

[5]
The following is a GGA-PBEsol calculation of InCoNi6 after structural relaxation, from Alexandria.

POSCAR file:
```
InCoNi6
1.0
-4.083 -0.701 4.598
-2.615 -1.516 -5.400
3.034 -9.611 1.229
Ni Co In
24 4 4
Direct
0.359 0.115 0.867
0.369 0.112 0.382
0.000 0.000 0.000
0.756 0.244 0.738
0.888 0.631 0.382
0.888 0.631 0.618
0.244 0.756 0.262
0.500 0.500 0.500
0.115 0.359 0.133
0.244 0.756 0.738
0.500 0.500 0.000
0.631 0.888 0.618
0.756 0.244 0.262
0.641 0.885 0.867
0.000 0.000 0.500
0.112 0.369 0.382
0.115 0.359 0.867
0.631 0.888 0.382
0.885 0.641 0.133
0.641 0.885 0.133
0.369 0.112 0.618
0.885 0.641 0.867
0.359 0.115 0.133
0.112 0.369 0.618
0.745 0.255 0.500
0.000 0.000 0.255
0.255 0.745 0.500
0.000 0.000 0.745
0.744 0.256 0.000
0.500 0.500 0.747
0.256 0.744 0.000
0.500 0.500 0.253
```

Calculated values
ΔH_f (0 K), eV/f.u.: -0.024
Space-group type: Cmmm, No. 65

[6]
The following is a GGA-PBEsol calculation of InCoNi2 after structural relaxation, from Alexandria.

POSCAR file:
```
InCoNi2
1.0
2.777 0.000 0.000
0.000 3.292 0.000
0.000 0.000 5.527
Co In Ni
1 1 2
Direct
0.500 0.500 0.500
0.500 0.500 0.000
0.000 0.000 0.284
0.000 0.000 0.716
```

Calculated values
ΔH_f (0 K), eV/f.u.: 0.253
Space-group type: Pmmm, No. 47